Record 1
The following is a DFT calculation (PBE-GGA) of an optimized crystal structure of V2Ni5Pt.

Lattice parameters (Å, degrees): 7.2529 7.2529 6.6357 106.25 106.25 35.34
Sites, in units of the cell vectors:
V  0.0588  0.6994  0.8772
V  0.3006  0.9412  0.6228
V  0.6994  0.0588  0.3772
V  0.9412  0.3006  0.1228
Ni  0.0979  0.5453  0.1841
Ni  0.1603  0.8397  0.2500
Ni  0.2765  0.6062  0.5634
Ni  0.3938  0.7235  0.9366
Ni  0.4547  0.9021  0.3159
Ni  0.5453  0.0979  0.6841
Ni  0.6062  0.2765  0.0634
Ni  0.7235  0.3938  0.4366
Ni  0.8397  0.1603  0.7500
Ni  0.9021  0.4547  0.8159
Pt  0.0000  0.5000  0.5000
Pt  0.5000  0.0000  0.0000

Energy above the lowest structure with this stoichiometry   0.0 meV per atom
D(E_F)   13.192 states/eV per cell
M_tot   0.00 μB/f.u.
Formation energy   -0.209 eV per atom

---

Record 2
The following is a DFT calculation (PBE-GGA) of an optimized crystal structure of BeHg2HS.

Lattice parameters (Å, degrees): 5.4110 5.4110 3.0902 90.00 90.00 90.00
Sites, in units of the cell vectors:
Be  0.0000  0.0000  0.0000
Hg  0.0000  0.5000  0.5000
Hg  0.5000  0.0000  0.5000
H  0.5000  0.5000  0.5000
S  0.5000  0.5000  0.0000

D(E_F)   2.996 states/eV per cell
M_tot   0.00 μB/f.u.
Calculated total energy   -1.70 eV/atom

---

Record 3
The following is a DFT calculation (PBE-GGA) of an optimized crystal structure of HfP3S.

Lattice parameters (Å, degrees): 4.4322 4.4322 4.4322 90.00 90.00 90.00
Sites, in units of the cell vectors:
Hf  0.0000  0.0000  0.0000
P  0.0000  0.5000  0.5000
P  0.5000  0.0000  0.5000
P  0.5000  0.5000  0.0000
S  0.5000  0.5000  0.5000

Energy above the lowest structure with this stoichiometry   0.0 meV per atom
D(E_F)   2.775 states/eV per cell
M_tot   0.00 μB/f.u.
Formation energy (no corrections)   0.4511 eV/atom

---

Record 4
The following is a DFT calculation (PBE-GGA) of an optimized crystal structure of Zr2InMo.

Lattice parameters (Å, degrees): 4.6886 4.6886 3.6999 90.00 90.00 90.00
Sites, in units of the cell vectors:
Zr  0.0000  0.5000  0.0000
Zr  0.5000  0.0000  0.0000
In  0.0000  0.0000  0.5000
Mo  0.5000  0.5000  0.5000

D(E_F)   3.860 states/eV per cell
M_tot   0.00 μB/f.u.
Formation energy   -0.133 eV per atom

---

D(E_F) of number 2 (BeHg2HS)? 2.996 states/eV per cell